Compound: PrScGa6
Source: Alexandria
Functional: PBE
Structure: relaxed

The structure in extended XYZ format:
```
8
Lattice="4.277 0.000 0.000 0.000 4.277 0.000 0.000 0.000 8.502" Properties=species:S:1:pos:R:3 pbc="T T T"
Pr 0.000 0.000 0.000
Sc 0.000 0.000 4.251
Ga 0.000 2.138 2.260
Ga 0.000 2.138 6.242
Ga 2.138 0.000 2.260
Ga 2.138 0.000 6.242
Ga 2.138 2.138 0.000
Ga 2.138 2.138 4.251
```

Calculated values
- Energy of formation: -0.49 eV per atom
- Symmetry: No. 123
- Total magnetic moment: 0.00 μB per formula unit

---

Compound: PmNp4S7
Source: Alexandria
Functional: PBE
Structure: relaxed

The structure in extended XYZ format:
```
12
Lattice="6.574 -1.927 0.000 6.574 1.927 0.000 -2.920 0.000 11.155" Properties=species:S:1:pos:R:3 pbc="T T T"
Pm 0.000 0.000 0.000
Np 0.339 0.000 4.745
Np 0.611 0.000 9.442
Np 3.740 0.000 6.779
Np 10.077 0.000 2.728
S -0.853 0.000 7.143
S 1.533 0.000 2.342
S 4.726 0.000 0.871
S 5.016 0.000 4.169
S 5.452 0.000 10.245
S 8.813 0.000 5.321
S 8.955 0.000 8.571
```

Calculated values
- ΔE_f (raw): -1.440 eV/atom
- Symmetry: No. 8
- Total magnetic moment: 0.02 μB per formula unit

---

Compound: Pr3PuIr3
Source: Alexandria
Functional: PBE
Structure: relaxed

The structure in extended XYZ format:
```
14
Lattice="5.654 -4.545 0.000 5.654 4.545 0.000 -1.653 0.000 6.976" Properties=species:S:1:pos:R:3 pbc="T T T"
Pr 5.654 2.720 0.000
Pr 3.206 0.000 0.055
Pr 4.827 1.909 3.488
Pr 4.827 -1.909 3.488
Pr 6.449 0.000 6.921
Pr 5.654 -2.720 0.000
Pu 1.578 0.000 3.221
Pu 8.077 0.000 3.755
Ir 1.698 2.230 5.005
Ir -0.597 0.000 4.973
Ir 1.698 -2.230 5.005
Ir 7.956 2.230 1.971
Ir 10.252 0.000 2.004
Ir 7.956 -2.230 1.971
```

Calculated values
- Energy of formation: -0.46 eV per atom
- Symmetry: No. 12
- Total magnetic moment: 4.72 μB per formula unit

---

Compound: ZnCo2Te
Source: Alexandria
Functional: PBE
Structure: relaxed

The structure in extended XYZ format:
```
4
Lattice="3.097 0.000 0.000 0.000 4.491 0.000 -1.346 0.000 4.613" Properties=species:S:1:pos:R:3 pbc="T T T"
Zn 0.000 0.000 0.000
Co -0.208 2.246 1.089
Co 1.499 0.000 1.893
Te 1.325 2.246 3.039
```

Calculated values
- Polymorph energy (0 for the lowest one): 0.48 eV per formula unit
- ΔE_f (raw): 0.308 eV/atom
- Symmetry: No. 6
- Total magnetic moment: 1.80 μB per formula unit

---

Compound: CaRhBr
Source: Alexandria
Functional: PBE
Structure: relaxed

The structure in extended XYZ format:
```
3
Lattice="0.000 3.230 3.230 3.230 0.000 3.230 3.230 3.230 0.000" Properties=species:S:1:pos:R:3 pbc="T T T"
Ca 0.000 0.000 0.000
Rh 1.615 1.615 1.615
Br 3.230 3.230 3.230
```

Calculated values
- Polymorph energy (0 for the lowest one): 1.92 eV per formula unit
- ΔE_f (raw): -0.371 eV/atom
- Symmetry: No. 216
- Total magnetic moment: 0.00 μB per formula unit

---

Compound: Pm8Sm6Dy
Source: Alexandria
Functional: PBE
Structure: relaxed

The structure in extended XYZ format:
```
15
Lattice="9.493 0.000 0.000 -4.746 8.221 0.000 0.000 0.000 6.655" Properties=species:S:1:pos:R:3 pbc="T T T"
Pm -1.059 2.320 2.239
Pm -2.208 7.978 2.239
Pm 1.480 2.077 4.416
Pm 0.000 5.481 2.577
Pm 4.746 2.740 4.078
Pm 3.266 6.144 2.239
Pm 6.954 0.243 4.416
Pm 5.805 5.901 4.416
Sm -1.234 3.558 5.597
Sm -1.048 7.511 5.597
Sm 2.464 2.848 1.058
Sm 2.283 5.373 5.597
Sm 5.795 0.710 1.058
Sm 5.981 4.663 1.058
Dy 0.000 0.000 0.000
```

Calculated values
- Polymorph energy (0 for the lowest one): 0.78 eV per formula unit
- Energy of formation: 0.17 eV per atom
- Symmetry: No. 147
- Total magnetic moment: 0.00 μB per formula unit

---

Compound: SrSbRu2
Source: Alexandria
Functional: PBE
Structure: relaxed

The structure in extended XYZ format:
```
4
Lattice="3.095 0.000 0.000 0.000 3.618 0.000 0.000 0.000 7.616" Properties=species:S:1:pos:R:3 pbc="T T T"
Sr 0.000 0.000 0.000
Sb 1.547 1.809 4.983
Ru 0.000 0.000 3.420
Ru 1.547 1.809 2.229
```

Calculated values
- ΔE_f (raw): 0.202 eV/atom
- Symmetry: No. 25
- Total magnetic moment: 0.00 μB per formula unit

---

Compound: Rb3In8Au3
Source: Alexandria
Functional: PBE
Structure: relaxed

The structure in extended XYZ format:
```
14
Lattice="9.066 -2.648 0.000 9.066 2.648 0.000 -5.434 0.000 8.326" Properties=species:S:1:pos:R:3 pbc="T T T"
Rb 0.000 0.000 0.000
Rb 3.600 0.000 2.365
Rb 9.097 0.000 5.961
In 0.090 0.000 3.619
In -1.916 0.000 7.046
In 2.327 0.000 5.894
In 7.218 0.000 2.719
In 5.479 0.000 5.607
In 10.370 0.000 2.432
In 14.613 0.000 1.280
In 12.607 0.000 4.707
Au -2.717 0.000 4.163
Au 6.254 0.000 0.011
Au 6.443 0.000 8.315
```

Calculated values
- Energy of formation: -0.16 eV per atom
- Symmetry: No. 12
- Total magnetic moment: 0.00 μB per formula unit

---

Compound: MnCd2Co
Source: Alexandria
Functional: PBE
Structure: relaxed

The structure in extended XYZ format:
```
4
Lattice="-1.539 2.323 4.624 1.539 -2.323 4.624 1.539 2.323 -4.624" Properties=species:S:1:pos:R:3 pbc="T T T"
Mn 0.000 0.000 0.000
Cd 1.539 0.000 2.532
Cd 0.000 0.000 5.103
Co 0.000 2.323 2.787
```

Calculated values
- Polymorph energy (0 for the lowest one): 0.37 eV per formula unit
- Energy of formation: 0.24 eV per atom
- Symmetry: No. 44
- Total magnetic moment: 4.78 μB per formula unit

---

Compound: ReAg2Pt
Source: Alexandria
Functional: PBE
Structure: relaxed

The structure in extended XYZ format:
```
4
Lattice="-1.950 1.950 4.380 1.950 -1.950 4.380 1.950 1.950 -4.380" Properties=species:S:1:pos:R:3 pbc="T T T"
Re 0.000 0.000 0.000
Ag 1.950 0.000 2.190
Ag 0.000 1.950 2.190
Pt 0.000 0.000 4.380
```

Calculated values
- Polymorph energy (0 for the lowest one): 1.78 eV per formula unit
- Energy of formation: 0.63 eV per atom
- Symmetry: No. 139
- Total magnetic moment: 2.54 μB per formula unit

---

Compound: DyY2Ni
Source: Alexandria
Functional: PBE
Structure: relaxed

The structure in extended XYZ format:
```
4
Lattice="1.900 1.097 8.939 -1.900 1.097 8.939 0.000 -2.193 8.939" Properties=species:S:1:pos:R:3 pbc="T T T"
Dy 0.000 0.000 0.000
Y 0.000 0.000 14.961
Y 0.000 0.000 20.697
Ni 0.000 0.000 4.402
```

Calculated values
- Polymorph energy (0 for the lowest one): 0.64 eV per formula unit
- Energy of formation: -0.08 eV per atom
- Symmetry: No. 160
- Total magnetic moment: 0.00 μB per formula unit

---

Compound: Sr2YZr
Source: Alexandria
Functional: PBE
Structure: relaxed

The structure in extended XYZ format:
```
4
Lattice="6.062 0.000 0.000 0.000 6.062 0.000 0.000 0.000 3.964" Properties=species:S:1:pos:R:3 pbc="T T T"
Sr 0.000 3.031 0.000
Sr 3.031 0.000 0.000
Y 0.000 0.000 1.982
Zr 3.031 3.031 1.982
```

Calculated values
- Polymorph energy (0 for the lowest one): 1.39 eV per formula unit
- Energy of formation: 0.60 eV per atom
- Symmetry: No. 123
- Total magnetic moment: 1.32 μB per formula unit

---

Compound: PmCdPt2O8
Source: Alexandria
Functional: PBE
Structure: relaxed

The structure in extended XYZ format:
```
12
Lattice="5.922 0.000 0.000 -2.961 5.128 0.000 0.000 0.000 6.768" Properties=species:S:1:pos:R:3 pbc="T T T"
Pm 0.000 0.000 0.000
Cd 0.000 0.000 3.384
Pt 0.000 3.419 6.473
Pt 2.961 1.709 0.295
O -0.760 2.027 0.894
O -0.825 4.773 0.894
O 0.000 3.419 4.648
O 1.376 1.672 5.874
O 1.585 3.457 0.894
O 2.961 1.709 2.120
O 3.786 0.356 5.874
O 3.721 3.101 5.874
```

Calculated values
- ΔE_f (raw): -0.431 eV/atom
- Symmetry: No. 147
- Total magnetic moment: 0.00 μB per formula unit

---

Compound: CsLi2PrBr6
Source: Alexandria
Functional: PBE
Structure: relaxed

The structure in extended XYZ format:
```
10
Lattice="7.468 0.000 0.000 3.731 6.473 0.000 3.729 2.161 6.831" Properties=species:S:1:pos:R:3 pbc="T T T"
Cs 0.000 0.000 0.000
Li 3.733 2.153 2.174
Li 11.194 6.474 5.378
Pr 7.464 4.316 2.675
Br 6.088 6.595 3.927
Br 5.490 3.494 0.638
Br 6.179 1.984 3.927
Br 7.742 6.435 0.639
Br 10.123 4.369 3.930
Br 9.162 3.015 0.641
```

Calculated values
- ΔE_f (raw): -1.699 eV/atom
- Symmetry: No. 1
- Total magnetic moment: 0.00 μB per formula unit

---

Compound: BeFe
Source: Alexandria
Functional: PBE
Structure: relaxed

The structure in extended XYZ format:
```
8
Lattice="-3.238 3.238 1.772 3.238 -3.238 1.772 3.238 3.238 -1.772" Properties=species:S:1:pos:R:3 pbc="T T T"
Be 1.070 1.070 0.000
Be 2.168 -2.168 1.772
Be -2.168 2.168 1.772
Be 2.168 2.168 1.772
Fe 3.238 1.209 0.000
Fe 1.209 3.238 0.000
Fe 2.029 0.000 1.772
Fe 0.000 2.029 1.772
```

Calculated values
- Energy of formation: 0.09 eV per atom
- Symmetry: No. 139
- Total magnetic moment: 0.00 μB per formula unit

---

Compound: Sm2HgGe3Pd4
Source: Alexandria
Functional: PBE
Structure: relaxed

The structure in extended XYZ format:
```
10
Lattice="4.311 0.000 0.000 0.000 4.311 0.000 0.000 0.000 10.696" Properties=species:S:1:pos:R:3 pbc="T T T"
Sm 0.000 2.155 2.609
Sm 2.155 0.000 8.087
Hg 0.000 0.000 5.348
Ge 0.000 2.155 9.380
Ge 2.155 0.000 1.316
Ge 2.155 2.155 5.348
Pd 0.000 0.000 0.000
Pd 0.000 2.155 6.974
Pd 2.155 0.000 3.722
Pd 2.155 2.155 0.000
```

Calculated values
- Energy of formation: -0.69 eV per atom
- Symmetry: No. 115
- Total magnetic moment: 0.00 μB per formula unit

---

Compound: La3Nd2Sc2
Source: Alexandria
Functional: PBE
Structure: relaxed

The structure in extended XYZ format:
```
7
Lattice="3.640 0.000 0.000 -1.816 7.593 0.000 -0.001 -2.902 8.254" Properties=species:S:1:pos:R:3 pbc="T T T"
La 0.000 0.000 0.000
La 0.006 0.794 3.575
La 1.817 3.897 4.678
Nd -0.001 1.786 7.005
Nd 1.824 2.905 1.249
Sc 0.004 5.684 2.299
Sc 1.819 -0.993 5.955
```

Calculated values
- Energy of formation: 0.05 eV per atom
- Symmetry: No. 2
- Total magnetic moment: 0.00 μB per formula unit

---

Compound: Er8InCu2
Source: Alexandria
Functional: PBE
Structure: relaxed

The structure in extended XYZ format:
```
11
Lattice="4.337 -6.731 0.000 4.337 6.731 0.000 -1.476 0.000 5.077" Properties=species:S:1:pos:R:3 pbc="T T T"
Er 0.916 1.681 2.986
Er 4.337 3.481 0.000
Er 0.916 -1.681 2.986
Er 3.119 0.000 0.993
Er 4.078 0.000 4.083
Er 6.281 1.681 2.091
Er 4.337 -3.481 0.000
Er 6.281 -1.681 2.091
In 0.000 0.000 0.000
Cu 3.599 2.584 2.538
Cu 3.599 -2.584 2.538
```

Calculated values
- Energy of formation: -0.08 eV per atom
- Symmetry: No. 12
- Total magnetic moment: 1.03 μB per formula unit

---

Compound: LaHoMg6
Source: Alexandria
Functional: PBE
Structure: relaxed

The structure in extended XYZ format:
```
8
Lattice="5.237 0.000 0.000 0.000 3.396 5.868 0.000 -3.396 5.868" Properties=species:S:1:pos:R:3 pbc="T T T"
La 0.000 0.000 0.000
Ho 2.619 0.000 3.894
Mg 0.000 0.000 5.874
Mg 0.000 -1.677 8.788
Mg 0.000 1.677 8.788
Mg 2.619 -1.623 6.869
Mg 2.619 1.623 6.869
Mg 2.619 0.000 9.696
```

Calculated values
- Energy of formation: -0.07 eV per atom
- Symmetry: No. 38
- Total magnetic moment: 0.00 μB per formula unit

---

Compound: Sb2RuRh
Source: Alexandria
Functional: PBE
Structure: relaxed

The structure in extended XYZ format:
```
4
Lattice="4.643 0.000 0.000 0.000 4.643 0.000 0.000 0.000 3.315" Properties=species:S:1:pos:R:3 pbc="T T T"
Sb 0.000 2.321 0.000
Sb 2.321 0.000 0.000
Ru 0.000 0.000 1.657
Rh 2.321 2.321 1.657
```

Calculated values
- Polymorph energy (0 for the lowest one): 0.70 eV per formula unit
- ΔE_f (raw): 0.012 eV/atom
- Symmetry: No. 123
- Total magnetic moment: 0.64 μB per formula unit

---

Compound: LaZn2HSe
Source: Alexandria
Functional: PBE
Structure: relaxed

The structure in extended XYZ format:
```
5
Lattice="4.122 0.000 0.000 0.000 4.122 0.000 0.000 0.000 5.789" Properties=species:S:1:pos:R:3 pbc="T T T"
La 0.000 0.000 0.000
Zn 0.000 2.061 2.894
Zn 2.061 0.000 2.894
H 2.061 2.061 2.894
Se 2.061 2.061 0.000
```

Calculated values
- Symmetry: No. 123
- Total magnetic moment: 0.00 μB per formula unit
- Final energy: -16.30 eV/cell

---

Compound: HfHg2Cl8
Source: Alexandria
Functional: PBE
Structure: relaxed

The structure in extended XYZ format:
```
11
Lattice="6.526 -3.498 0.000 6.526 3.498 0.000 -2.920 0.000 9.014" Properties=species:S:1:pos:R:3 pbc="T T T"
Hf 0.000 0.000 0.000
Hg 1.121 0.000 3.231
Hg 9.012 0.000 5.783
Cl -1.768 0.000 6.702
Cl 2.091 1.805 8.169
Cl 2.938 0.000 4.673
Cl 8.042 1.805 0.845
Cl 2.091 -1.805 8.169
Cl 7.195 0.000 4.341
Cl 8.042 -1.805 0.845
Cl 11.901 0.000 2.312
```

Calculated values
- Polymorph energy (0 for the lowest one): 0.00 eV per formula unit
- ΔE_f (raw): -1.103 eV/atom
- Symmetry: No. 12
- Total magnetic moment: 0.00 μB per formula unit

---

Compound: AcCuSi
Source: Alexandria
Functional: PBE
Structure: relaxed

The structure in extended XYZ format:
```
3
Lattice="4.263 0.000 0.000 -2.132 3.692 0.000 0.000 0.000 4.434" Properties=species:S:1:pos:R:3 pbc="T T T"
Ac 0.000 0.000 0.000
Cu 2.132 1.231 2.217
Si 0.000 2.462 2.217
```

Calculated values
- Polymorph energy (0 for the lowest one): 0.02 eV per formula unit
- ΔE_f (raw): -0.525 eV/atom
- Symmetry: No. 187
- Total magnetic moment: 0.00 μB per formula unit

---

Compound: Mn2CrSi
Source: Alexandria
Functional: PBE
Structure: relaxed

The structure in extended XYZ format:
```
4
Lattice="3.709 0.000 0.000 0.000 3.709 0.000 0.000 0.000 3.475" Properties=species:S:1:pos:R:3 pbc="T T T"
Mn 0.000 1.855 0.000
Mn 1.855 0.000 0.000
Cr 0.000 0.000 1.737
Si 1.855 1.855 1.737
```

Calculated values
- ΔE_f (raw): -0.188 eV/atom
- Symmetry: No. 123
- Total magnetic moment: 1.91 μB per formula unit

---

Compound: Y3Tc
Source: Alexandria
Functional: PBE
Structure: relaxed

The structure in extended XYZ format:
```
4
Lattice="5.106 2.948 1.103 -5.106 2.948 1.103 0.000 -5.896 1.103" Properties=species:S:1:pos:R:3 pbc="T T T"
Y -2.553 -1.474 1.103
Y -2.553 1.474 2.206
Y 0.000 2.948 1.103
Tc 0.000 0.000 0.000
```

Calculated values
- Energy of formation: 0.37 eV per atom
- Symmetry: No. 166
- Total magnetic moment: 0.00 μB per formula unit